5
Lattice="4.442 0.000 0.000 0.000 4.442 0.000 0.000 0.000 7.408" Properties=species:S:1:pos:R:3 comment="BiIBrN2 | Alexandria via LeMat-Bulk | GGA-PBE | optimized geometry" energy_ev_per_cell=-16.4 m_tot_mub_per_fu=2.276 dos_ef_per_ev_atom=0.73 e_form_raw_ev_per_atom=1.477 pbc="T T T"
Bi 0.000 0.000 0.000
I 0.000 0.000 3.704
Br 2.221 2.221 3.704
N 0.000 2.221 0.000
N 2.221 0.000 0.000